Arrangement A

An optimized crystal structure of CaSm2Zr. Source: Alexandria via LeMat-Bulk, functional PBE. Values from VASP.

## Properties
**V**: 126.1 Å³/cell
**SG**: R-3m, No. 166

Quantum ESPRESSO input file:
```
&SYSTEM
  ibrav = 0, nat = 4, ntyp = 3
/
ATOMIC_SPECIES
Ca 40.08 Ca.upf
Sm 150.36 Sm.upf
Zr 91.22 Zr.upf
CELL_PARAMETERS angstrom
1.7018 0.9825 12.5692
-1.7018 0.9825 12.5692
0.0000 -1.9650 12.5692
ATOMIC_POSITIONS angstrom
Ca 0.0000 0.0000 0.0000
Sm 0.0000 0.0000 15.7646
Sm 0.0000 0.0000 21.9430
Zr 0.0000 0.0000 18.8538
```

=====

Arrangement B

An optimized crystal structure of CaSm2Zr. Source: Alexandria via LeMat-Bulk, functional PBE. Values from VASP.

## Properties
**V**: 128.0 Å³/cell
**SG**: R3m, No. 160

Quantum ESPRESSO input file:
```
&SYSTEM
  ibrav = 0, nat = 4, ntyp = 3
/
ATOMIC_SPECIES
Ca 40.08 Ca.upf
Sm 150.36 Sm.upf
Zr 91.22 Zr.upf
CELL_PARAMETERS angstrom
1.7639 1.0184 11.8722
-1.7639 1.0184 11.8722
0.0000 -2.0368 11.8722
ATOMIC_POSITIONS angstrom
Ca 0.0000 0.0000 0.0000
Sm 0.0000 0.0000 8.5673
Sm 0.0000 0.0000 15.1560
Zr 0.0000 0.0000 29.6735
```

=====

Arrangement C

An optimized crystal structure of CaSm2Zr. Source: Alexandria via LeMat-Bulk, functional PBE. Values from VASP.

## Properties
**V**: 128.5 Å³/cell
**SG**: P4/mmm, No. 123

Quantum ESPRESSO input file:
```
&SYSTEM
  ibrav = 0, nat = 4, ntyp = 3
/
ATOMIC_SPECIES
Ca 40.08 Ca.upf
Sm 150.36 Sm.upf
Zr 91.22 Zr.upf
CELL_PARAMETERS angstrom
3.5410 0.0000 0.0000
0.0000 3.5410 0.0000
0.0000 0.0000 10.2510
ATOMIC_POSITIONS angstrom
Ca 0.0000 0.0000 0.0000
Sm 1.7705 1.7705 2.9034
Sm 1.7705 1.7705 7.3476
Zr 0.0000 0.0000 5.1255
```

=====

On energetic grounds, arrangement C is preferred over the next structure by 25 meV/atom.

=====

Arrangement A

An optimized crystal structure of CaSmZr. Source: Alexandria via LeMat-Bulk, functional PBE. Values from VASP.

## Properties
**V**: 94.2 Å³/cell
**SG**: I4mm, No. 107

Quantum ESPRESSO input file:
```
&SYSTEM
  ibrav = 0, nat = 3, ntyp = 3
/
ATOMIC_SPECIES
Ca 40.08 Ca.upf
Sm 150.36 Sm.upf
Zr 91.22 Zr.upf
CELL_PARAMETERS angstrom
-1.7190 1.7190 7.9673
1.7190 -1.7190 7.9673
1.7190 1.7190 -7.9673
ATOMIC_POSITIONS angstrom
Ca 0.0000 0.0000 0.0000
Sm 0.0000 0.0000 4.8579
Zr 0.0000 0.0000 10.6128
```

=====

Arrangement B

An optimized crystal structure of CaSmZr. Source: Alexandria via LeMat-Bulk, functional PBE. Values from VASP.

## Properties
**V**: 186.2 Å³/cell
**SG**: P-1, No. 2

Quantum ESPRESSO input file:
```
&SYSTEM
  ibrav = 0, nat = 6, ntyp = 3
/
ATOMIC_SPECIES
Ca 40.08 Ca.upf
Sm 150.36 Sm.upf
Zr 91.22 Zr.upf
CELL_PARAMETERS angstrom
3.3828 0.0000 0.0000
0.5448 6.0741 0.0000
0.8100 1.6909 9.0602
ATOMIC_POSITIONS angstrom
Ca 0.7073 1.5582 2.7290
Ca 4.0303 6.2068 6.3312
Sm 1.3072 4.5613 0.6899
Sm 3.4304 3.2037 8.3703
Zr 1.7201 3.1031 5.4877
Zr 3.0175 4.6619 3.5725
```

=====

On energetic grounds, arrangement A is preferred over the next structure by 40 meV/atom.

=====

Arrangement A

An optimized crystal structure of Sr3CaSn. Source: Alexandria via LeMat-Bulk, functional PBE. Values from VASP.

## Properties
**V**: 258.3 Å³/cell
**SG**: Pm-3m, No. 221

Quantum ESPRESSO input file:
```
&SYSTEM
  ibrav = 0, nat = 5, ntyp = 3
/
ATOMIC_SPECIES
Sr 87.62 Sr.upf
Ca 40.08 Ca.upf
Sn 118.71 Sn.upf
CELL_PARAMETERS angstrom
6.3688 0.0000 0.0000
0.0000 6.3688 0.0000
0.0000 0.0000 6.3688
ATOMIC_POSITIONS angstrom
Sr 0.0000 0.0000 3.1844
Sr 0.0000 3.1844 0.0000
Sr 3.1844 0.0000 0.0000
Ca 0.0000 0.0000 0.0000
Sn 3.1844 3.1844 3.1844
```

=====

Arrangement B

An optimized crystal structure of Sr3CaSn. Source: Alexandria via LeMat-Bulk, functional PBE. Values from VASP.

## Properties
**V**: 264.9 Å³/cell
**SG**: Pm-3m, No. 221

Quantum ESPRESSO input file:
```
&SYSTEM
  ibrav = 0, nat = 5, ntyp = 3
/
ATOMIC_SPECIES
Sr 87.62 Sr.upf
Ca 40.08 Ca.upf
Sn 118.71 Sn.upf
CELL_PARAMETERS angstrom
6.4227 0.0000 0.0000
0.0000 6.4227 0.0000
0.0000 0.0000 6.4227
ATOMIC_POSITIONS angstrom
Sr 0.0000 0.0000 3.2114
Sr 0.0000 3.2114 0.0000
Sr 3.2114 0.0000 0.0000
Ca 3.2114 3.2114 3.2114
Sn 0.0000 0.0000 0.0000
```

=====

On energetic grounds, arrangement B is preferred over the next structure by 810 meV/atom.